NbIn2AgSb | PBE-GGA | optimized geometry

Lattice parameters (Å, degrees): 5.458 5.458 5.280 90.00 90.00 90.00
Space group P4/mmm (No. 123)
One atom of each set of equivalent atoms:
1 Nb 0.000 0.000 0.000
2 In 0.000 0.500 0.000
3 Ag 0.500 0.500 0.500
4 Sb 0.000 0.000 0.500

The formation energy (no corrections) is 0.565 eV/atom. The total magnetization comes out at 0.00 Bohr magnetons per cell.

***

TlOs3 | PBE-GGA | optimized geometry

Lattice parameters (Å, degrees): 2.853 2.853 7.986 90.00 90.00 90.00
Space group P4/mmm (No. 123)
One atom of each set of equivalent atoms:
1 Tl 0.000 0.000 0.000
2 Os 0.000 0.000 0.500
3 Os 0.500 0.500 0.279

For the formation energy, the calculation gives 0.67 eV/atom. The total magnetization comes out at 0.00 Bohr magnetons per cell. The energy above the most stable polymorph in this dataset comes out at 0.0 meV per atom.

***

Pm4Nd4Y3 | PBE-GGA | optimized geometry

Lattice parameters (Å, degrees): 3.596 5.748 18.460 81.11 84.42 90.00
Space group P-1 (No. 2)
One atom of each set of equivalent atoms:
1 Pm 0.090 0.092 0.319
2 Pm 0.233 0.733 0.034
3 Nd 0.046 0.547 0.408
4 Nd 0.180 0.181 0.140
5 Y 0.364 0.363 0.772
6 Y 0.500 0.000 0.500

For the formation energy, the calculation gives 0.05 eV/atom. The total magnetization comes out at 0.00 Bohr magnetons per cell. The energy above the most stable polymorph in this dataset comes out at 0.0 meV per atom.

***

SmHg2Pb2 | PBE-GGA | optimized geometry

Lattice parameters (Å, degrees): 4.780 24.637 4.638 90.00 90.00 90.00
Space group Cmcm (No. 63)
One atom of each set of equivalent atoms:
1 Sm 0.000 0.139 0.250
2 Hg 0.000 0.043 0.750
3 Hg 0.000 0.454 0.750
4 Pb 0.000 0.249 0.750
5 Pb 0.000 0.358 0.250

For the formation energy, the calculation gives -0.26 eV/atom. The total magnetization comes out at 0.00 Bohr magnetons per cell.